Entry 1:
The following is a DFT calculation (PBE-GGA) of an optimized crystal structure of BeMo2Pb.

The structure in extended XYZ format:
```
4
Lattice="0.000 3.192 3.192 3.192 0.000 3.192 3.192 3.192 0.000" Properties=species:S:1:pos:R:3 pbc="T T T"
Pb 3.192 3.192 3.192
Be 0.000 0.000 0.000
Mo 1.596 1.596 1.596
Mo 4.788 4.788 4.788
```

Properties
Relative energy among the computed polymorphs, eV per atom: 0.512
DFT total energy, eV/atom: -6.460

=====

Entry 2:
The following is a DFT calculation (PBE-GGA) of an optimized crystal structure of BeMo2Pb.

The structure in extended XYZ format:
```
4
Lattice="4.529 0.002 0.007 3.380 3.014 0.007 0.917 0.350 5.311" Properties=species:S:1:pos:R:3 pbc="T T T"
Pb 4.420 1.686 2.584
Be 2.255 0.860 0.909
Mo 0.064 0.025 0.057
Mo 6.497 2.478 4.436
```

Properties
Relative energy among the computed polymorphs, eV per atom: 0.314
DFT total energy, eV/atom: -6.658

=====

Entry 3:
The following is a DFT calculation (PBE-GGA) of an optimized crystal structure of BeMo2Pb.

The structure in extended XYZ format:
```
4
Lattice="-0.708 -2.249 -4.619 2.426 -4.520 -0.761 -3.033 2.053 3.672" Properties=species:S:1:pos:R:3 pbc="T T T"
Pb 0.126 -2.926 0.111
Be -1.441 -1.791 -1.819
Mo 0.000 0.000 0.000
Mo 0.859 -3.385 -2.690
```

Properties
Relative energy among the computed polymorphs, eV per atom: 0.387
DFT total energy, eV/atom: -6.585

=====

Calculated theoretical density (Mg/m³), listed in the same order as above: 10.42 9.35 10.30
Calculated magnetization (μB/f.u.), listed in the same order as above: 0.00 0.00 0.00
Calculated E_form (meV/atom), listed in the same order as above: 815 616 689